{
  "formula": "CaZnIn",
  "functional": "PBE",
  "state": "optimized geometry",
  "mass_density_g_cm3": 5.0,
  "spacegroup": "P-6m2",
  "energy_ev_per_atom": -2.37,
  "formation_energy_kj_per_mol_fu": -105,
  "dos_ef_per_ev_cell": 1.58,
  "lattice": [[-4.1138, 2.3338, -0.5705], [1.3955, -3.1959, -3.2456], [-1.7824, -2.6834, 1.8759]],
  "species": ["Zn", "Ca", "In"],
  "frac_coords": [[0.3333, 0.6667, 0.4997], [0.0000, 0.0000, 0.0001], [0.6667, 0.3333, 0.5002]]
}

=====

{
  "formula": "CdGa2Ag",
  "functional": "PBE",
  "state": "optimized geometry",
  "mass_density_g_cm3": 7.5,
  "spacegroup": "P4/mmm",
  "energy_ev_per_atom": -2.39,
  "formation_energy_kj_per_mol_fu": 25,
  "dos_ef_per_ev_cell": 1.39,
  "lattice": [[3.4221, 0.0000, 0.0000], [0.0000, 3.4221, 0.0000], [0.0000, 0.0000, 6.8154]],
  "species": ["Ga", "Ga", "Ag", "Cd"],
  "frac_coords": [[0.0000, 0.0000, 0.7718], [0.0000, 0.0000, 0.2282], [0.5000, 0.5000, 0.0000], [0.5000, 0.5000, 0.5000]]
}

=====

{
  "formula": "GaAsIr3",
  "functional": "PBE",
  "state": "optimized geometry",
  "mass_density_g_cm3": 12.4,
  "spacegroup": "Pm-3m",
  "energy_ev_per_atom": -5.81,
  "formation_energy_kj_per_mol_fu": 504,
  "dos_ef_per_ev_cell": 10.08,
  "lattice": [[4.5867, 0.0000, 0.0000], [0.0000, 4.5867, 0.0000], [0.0000, 0.0000, 4.5867]],
  "species": ["As", "Ir", "Ir", "Ir", "Ga"],
  "frac_coords": [[0.0000, 0.0000, 0.0000], [0.0000, 0.5000, 0.0000], [0.0000, 0.0000, 0.5000], [0.5000, 0.0000, 0.0000], [0.5000, 0.5000, 0.5000]]
}

=====

{
  "formula": "AlAg3Hg",
  "functional": "PBE",
  "state": "optimized geometry",
  "mass_density_g_cm3": 6.3,
  "spacegroup": "Pm-3m",
  "energy_ev_per_atom": -1.75,
  "formation_energy_kj_per_mol_fu": 374,
  "dos_ef_per_ev_cell": 1.90,
  "lattice": [[5.2487, 0.0000, 0.0000], [0.0000, 5.2487, 0.0000], [0.0000, 0.0000, 5.2487]],
  "species": ["Hg", "Ag", "Ag", "Ag", "Al"],
  "frac_coords": [[0.0000, 0.0000, 0.0000], [0.0000, 0.5000, 0.0000], [0.0000, 0.0000, 0.5000], [0.5000, 0.0000, 0.0000], [0.5000, 0.5000, 0.5000]]
}

=====

{
  "formula": "ThZrCN",
  "functional": "PBE",
  "state": "optimized geometry",
  "mass_density_g_cm3": 9.4,
  "spacegroup": "R3m",
  "formation_energy_uncorrected_ev_per_atom": -1.04,
  "energy_ev_per_atom": -9.42,
  "dos_ef_per_ev_cell": 1.37,
  "lattice": [[-0.3746, -2.3029, -2.5925], [3.1922, 0.9529, 1.0384], [-1.9547, -4.2259, 4.0363]],
  "species": ["Th", "Zr", "C", "N"],
  "frac_coords": [[0.3445, 0.5078, 0.8674], [0.8450, 0.5088, 0.3697], [0.5855, 0.9896, 0.5908], [0.1029, 0.0246, 0.1418]]
}

=====

{
  "formula": "ZnSe",
  "functional": "PBE",
  "state": "optimized geometry",
  "mass_density_g_cm3": 5.1,
  "spacegroup": "F-43m",
  "formation_energy_uncorrected_ev_per_atom": -0.71,
  "energy_ev_per_atom": -3.09,
  "lattice": [[4.0567, 0.0003, -0.0003], [-2.0280, 3.5134, 0.0003], [0.0002, 2.3427, 3.3128]],
  "species": ["Zn", "Se"],
  "frac_coords": [[0.1100, 0.7800, 0.4433], [0.3600, 0.2800, 0.6933]]
}

=====

{
  "formula": "ZrMn2Tc",
  "functional": "PBE",
  "state": "optimized geometry",
  "mass_density_g_cm3": 8.4,
  "spacegroup": "C2/m",
  "energy_ev_per_atom": -9.14,
  "formation_energy_kj_per_mol_fu": 68,
  "dos_ef_per_ev_cell": 5.64,
  "lattice": [[-2.3794, 3.4068, 2.6198], [-2.9062, -3.6433, -1.5527], [-0.3108, -1.4021, 2.4083]],
  "species": ["Mn", "Mn", "Tc", "Zr"],
  "frac_coords": [[0.0000, 0.0000, 0.0000], [0.5000, 0.5000, 0.0000], [0.5000, 0.0000, 0.5000], [0.0000, 0.5000, 0.5000]]
}

=====

{
  "formula": "PuGa2Au",
  "functional": "PBE",
  "state": "optimized geometry",
  "mass_density_g_cm3": 11.7,
  "spacegroup": "Amm2",
  "energy_ev_per_atom": -6.21,
  "formation_energy_kj_per_mol_fu": -114,
  "dos_ef_per_ev_cell": 19.76,
  "lattice": [[-0.7724, 3.3386, -0.3194], [0.5883, -2.2150, -6.0340], [-7.5244, -1.7496, -0.0914]],
  "species": ["Pu", "Pu", "Ga", "Ga", "Ga", "Ga", "Au", "Au"],
  "frac_coords": [[0.6995, 0.3990, 0.5000], [0.6297, 0.2594, 0.0000], [0.0322, 0.0645, 0.7024], [0.0322, 0.0645, 0.2976], [0.9160, 0.8319, 0.0000], [0.4150, 0.8299, 0.5000], [0.3021, 0.6041, 0.8005], [0.3021, 0.6041, 0.1995]]
}

=====

{
  "formula": "Pm2Cu2Au3",
  "functional": "PBE",
  "state": "optimized geometry",
  "mass_density_g_cm3": 11.8,
  "spacegroup": "C2/m",
  "energy_ev_per_atom": -4.47,
  "formation_energy_kj_per_mol_fu": -366,
  "dos_ef_per_ev_cell": 3.92,
  "lattice": [[4.1636, 0.0000, 0.0000], [-2.0818, 4.9999, -0.0799], [0.0000, -2.4015, 6.8570]],
  "species": ["Pm", "Pm", "Cu", "Cu", "Au", "Au", "Au"],
  "frac_coords": [[0.8678, 0.7355, 0.2358], [0.1322, 0.2645, 0.7642], [0.8467, 0.6934, 0.7962], [0.1533, 0.3066, 0.2038], [0.5000, 0.0000, 0.0000], [0.6269, 0.2538, 0.4368], [0.3731, 0.7462, 0.5632]]
}

=====

{
  "formula": "TiGa2Ag",
  "functional": "PBE",
  "state": "optimized geometry",
  "mass_density_g_cm3": 7.5,
  "spacegroup": "P4/mmm",
  "energy_ev_per_atom": -4.47,
  "formation_energy_kj_per_mol_fu": -103,
  "dos_ef_per_ev_cell": 2.05,
  "lattice": [[3.8673, 0.0000, 0.0000], [0.0000, 4.1085, 0.0000], [0.0000, 0.0000, 4.1085]],
  "species": ["Ga", "Ga", "Ag", "Ti"],
  "frac_coords": [[0.0000, 0.0000, 0.5000], [0.0000, 0.5000, 0.0000], [0.5000, 0.5000, 0.5000], [0.5000, 0.0000, 0.0000]]
}

=====

{
  "formula": "ZrTeCl",
  "functional": "PBE",
  "state": "optimized geometry",
  "mass_density_g_cm3": 5.0,
  "spacegroup": "I4mm",
  "formation_energy_uncorrected_ev_per_atom": -1.00,
  "energy_ev_per_atom": -5.52,
  "dos_ef_per_ev_cell": 2.31,
  "lattice": [[7.6028, -0.0851, 0.0895], [6.8717, 3.2544, 0.0856], [0.7311, 0.1641, 3.3355]],
  "species": ["Cl", "Te", "Zr"],
  "frac_coords": [[0.0518, 0.0518, 0.9482], [0.2845, 0.2845, 0.7155], [0.6638, 0.6638, 0.3362]]
}

=====

{
  "formula": "NbMoN",
  "functional": "PBE",
  "state": "optimized geometry",
  "mass_density_g_cm3": 8.5,
  "spacegroup": "P3m1",
  "formation_energy_uncorrected_ev_per_atom": -0.43,
  "energy_ev_per_atom": -10.17,
  "dos_ef_per_ev_cell": 1.69,
  "lattice": [[4.6998, 0.0000, 0.0000], [0.0000, 3.1279, 0.0000], [0.0000, -1.5640, 2.7089]],
  "species": ["Mo", "Nb", "N"],
  "frac_coords": [[0.2441, 0.3333, 0.6667], [0.7490, 0.6667, 0.3333], [0.0069, 0.0000, 0.0000]]
}